[1]
A relaxed CaRuRh2N crystal. Source: the Alexandria database, functional GGA-PBE.

```
CaRuRh2N
1.0
-2.808 -1.670 3.712
-2.453 -1.357 -2.467
2.453 -4.294 -0.076
Ru Ca Rh N
1 1 2 1
direct
0.000 0.000 0.000
0.500 0.500 0.500
0.000 0.000 0.500
0.500 0.000 0.000
0.000 0.500 0.000
```

E_form (uncorrected) = 0.549 eV per atom
SG = P4/mmm
Final energy = -6.3121 eV per atom
Total moment = 0.00 μB per formula unit

[2]
A relaxed CaRhS2N crystal. Source: the Alexandria database, functional GGA-PBE.

```
CaRhS2N
1.0
-0.432 4.654 2.318
-5.113 0.041 -1.036
-0.796 -1.993 3.854
Ca Rh S N
1 1 2 1
direct
0.000 0.000 0.000
0.500 0.500 0.500
0.000 0.500 0.000
0.500 0.000 0.000
0.000 0.000 0.500
```

E_form (uncorrected) = 1.248 eV per atom
SG = P4/mmm
Distance to the lowest polymorph of the same formula = 1651 meV/atom
Final energy = -3.9389 eV per atom
Total moment = 4.61 μB per formula unit

[3]
A relaxed CaRhS2N crystal. Source: the Alexandria database, functional GGA-PBE.

```
CaRhS2N
1.0
-0.741 -3.743 3.184
3.667 -2.565 -2.162
2.420 1.499 2.326
Ca Rh S N
1 1 2 1
direct
0.500 0.500 0.500
0.000 0.000 0.000
0.000 0.500 0.000
0.500 0.000 0.000
0.000 0.000 0.500
```

E_form (uncorrected) = -0.403 eV per atom
SG = P4/mmm
Distance to the lowest polymorph of the same formula = 0 meV/atom
Final energy = -5.5900 eV per atom
Total moment = 0.00 μB per formula unit

[4]
A relaxed Ca2SbRhN crystal. Source: the Alexandria database, functional GGA-PBE.

```
Ca2SbRhN
1.0
5.174 0.000 0.000
0.000 5.174 0.000
0.000 0.000 3.862
Sb Ca Rh N
1 2 1 1
direct
0.500 0.500 0.500
0.000 0.500 0.000
0.500 0.000 0.000
0.000 0.000 0.500
0.000 0.000 0.000
```

E_form (uncorrected) = -0.678 eV per atom
SG = P4/mmm
Final energy = -5.4385 eV per atom
Total moment = 0.00 μB per formula unit

[5]
A relaxed Ca2SnRhN crystal. Source: the Alexandria database, functional GGA-PBE.

```
Ca2SnRhN
1.0
5.134 0.000 0.000
0.000 5.134 0.000
0.000 0.000 3.877
Ca Rh Sn N
2 1 1 1
direct
0.000 0.500 0.000
0.500 0.000 0.000
0.000 0.000 0.500
0.500 0.500 0.500
0.000 0.000 0.000
```

E_form (uncorrected) = -0.566 eV per atom
SG = P4/mmm
Final energy = -5.3028 eV per atom
Total moment = 0.00 μB per formula unit

[6]
A relaxed SrCaRh2N crystal. Source: the Alexandria database, functional GGA-PBE.

```
SrCaRh2N
1.0
4.309 0.000 0.000
0.000 4.833 0.000
0.000 0.000 4.309
Sr Ca Rh N
1 1 2 1
direct
0.000 0.500 0.000
0.500 0.500 0.500
0.000 0.000 0.500
0.500 0.000 0.000
0.000 0.000 0.000
```

E_form (uncorrected) = 0.036 eV per atom
SG = P4/mmm
Final energy = -5.3059 eV per atom
Total moment = 0.00 μB per formula unit

[7]
A relaxed CaTe2RhN crystal. Source: the Alexandria database, functional GGA-PBE.

```
CaTe2RhN
1.0
-0.057 4.384 3.736
-5.080 -1.800 2.034
1.853 -2.235 2.651
Ca Te Rh N
1 2 1 1
direct
0.000 0.000 0.000
0.000 0.500 0.000
0.500 0.000 0.000
0.500 0.500 0.500
0.000 0.000 0.500
```

E_form (uncorrected) = 1.219 eV per atom
SG = P4/mmm
Distance to the lowest polymorph of the same formula = 1480 meV/atom
Final energy = -3.5733 eV per atom
Total moment = 0.00 μB per formula unit

[8]
A relaxed CaTeRhN2 crystal. Source: the Alexandria database, functional GGA-PBE.

```
CaTeRhN2
1.0
-0.620 -0.328 4.007
-3.136 -2.497 -0.690
3.458 -4.390 0.176
Ca Te Rh N
1 1 1 2
direct
0.500 0.500 0.500
0.000 0.000 0.500
0.000 0.000 0.000
0.000 0.500 0.000
0.500 0.000 0.000
```

E_form (uncorrected) = 0.513 eV per atom
SG = P4/mmm
Distance to the lowest polymorph of the same formula = 0 meV/atom
Final energy = -5.3158 eV per atom
Total moment = 1.45 μB per formula unit

[9]
A relaxed CaTe2RhN crystal. Source: the Alexandria database, functional GGA-PBE.

```
CaTe2RhN
1.0
5.625 0.000 0.000
0.000 5.625 0.000
0.000 0.000 3.717
Ca Te Rh N
1 2 1 1
direct
0.500 0.500 0.500
0.000 0.500 0.000
0.500 0.000 0.000
0.000 0.000 0.000
0.000 0.000 0.500
```

E_form (uncorrected) = -0.260 eV per atom
SG = P4/mmm
Distance to the lowest polymorph of the same formula = 0 meV/atom
Final energy = -5.0528 eV per atom
Total moment = 0.18 μB per formula unit

[10]
A relaxed CaTeRhN2 crystal. Source: the Alexandria database, functional GGA-PBE.

```
CaTeRhN2
1.0
-1.538 3.562 1.976
-4.073 -1.373 -0.696
0.079 -3.095 5.643
Ca Te Rh N
1 1 1 2
direct
0.000 0.000 0.000
0.000 0.000 0.500
0.500 0.500 0.500
0.000 0.500 0.000
0.500 0.000 0.000
```

E_form (uncorrected) = 1.643 eV per atom
SG = P4/mmm
Distance to the lowest polymorph of the same formula = 1129 meV/atom
Final energy = -4.1864 eV per atom
Total moment = 5.90 μB per formula unit

[11]
A relaxed CaTeRhN2 crystal. Source: the Alexandria database, functional GGA-PBE.

```
CaTeRhN2
1.0
3.951 0.000 0.000
0.000 6.482 0.000
0.000 0.000 3.951
Ca Te Rh N
1 1 1 2
direct
0.000 0.500 0.000
0.500 0.500 0.500
0.000 0.000 0.000
0.000 0.000 0.500
0.500 0.000 0.000
```

E_form (uncorrected) = 0.637 eV per atom
SG = P4/mmm
Distance to the lowest polymorph of the same formula = 123 meV/atom
Final energy = -5.1925 eV per atom
Total moment = 0.00 μB per formula unit

[12]
A relaxed CaTh2RhN4 crystal. Source: the Alexandria database, functional GGA-PBE.

```
CaTh2RhN4
1.0
-2.462 -2.366 0.918
0.408 -0.242 -6.337
8.471 -8.478 0.870
Ca Th Rh N
2 4 2 8
direct
0.112 0.223 0.750
0.888 0.777 0.250
0.370 0.739 0.551
0.630 0.261 0.051
0.630 0.261 0.449
0.370 0.739 0.949
0.849 0.699 0.750
0.151 0.301 0.250
0.267 0.535 0.117
0.733 0.465 0.617
0.733 0.465 0.883
0.267 0.535 0.383
0.000 0.000 0.500
0.000 0.000 0.000
0.450 0.899 0.750
0.550 0.101 0.250
```

E_form (uncorrected) = -0.901 eV per atom
SG = Cmcm
Final energy = -8.0878 eV per atom
Total moment = 0.00 μB per formula unit

Copy entry 12 word for word.
A relaxed CaTh2RhN4 crystal. Source: the Alexandria database, functional GGA-PBE.

```
CaTh2RhN4
1.0
-2.462 -2.366 0.918
0.408 -0.242 -6.337
8.471 -8.478 0.870
Ca Th Rh N
2 4 2 8
direct
0.112 0.223 0.750
0.888 0.777 0.250
0.370 0.739 0.551
0.630 0.261 0.051
0.630 0.261 0.449
0.370 0.739 0.949
0.849 0.699 0.750
0.151 0.301 0.250
0.267 0.535 0.117
0.733 0.465 0.617
0.733 0.465 0.883
0.267 0.535 0.383
0.000 0.000 0.500
0.000 0.000 0.000
0.450 0.899 0.750
0.550 0.101 0.250
```

E_form (uncorrected) = -0.901 eV per atom
SG = Cmcm
Final energy = -8.0878 eV per atom
Total moment = 0.00 μB per formula unit

Which of these has the lowest E_form (uncorrected)?
CaTh2RhN4

What is the formula in the tenth record?
CaTeRhN2